VASP calculation (PBE) on an optimized crystal structure of KTcPb2.

Cell: 4.334 3.387 8.442 Å, 89.99 90.00 90.00°
Fractional coordinates of all 4 atoms:
K  0.500  0.624  0.755
Pb  0.000  0.125  0.053
Pb  0.500  0.125  0.372
Tc  0.000  0.625  0.320

The crystal system is orthorhombic. The value obtained for the formation energy is 0.416 eV/atom. For the excess energy over the best structure of this formula in the dataset, the calculation gives 3.82 kcal/mol of atoms.


VASP calculation (PBE) on an optimized crystal structure of CaPr6NdSm2.

Cell: 9.910 9.177 9.177 Å, 118.35 93.45 93.45°
Fractional coordinates of all 20 atoms:
Ca  0.250  0.973  0.027
Ca  0.750  0.027  0.973
Pr  0.054  0.125  0.753
Pr  0.446  0.247  0.875
Pr  0.946  0.875  0.247
Pr  0.554  0.753  0.125
Pr  0.318  0.979  0.440
Pr  0.182  0.560  0.021
Pr  0.682  0.021  0.560
Pr  0.818  0.440  0.979
Pr  0.118  0.709  0.499
Pr  0.382  0.501  0.291
Pr  0.882  0.291  0.501
Pr  0.618  0.499  0.709
Nd  0.250  0.407  0.593
Nd  0.750  0.593  0.407
Sm  0.455  0.806  0.697
Sm  0.045  0.303  0.194
Sm  0.545  0.194  0.303
Sm  0.955  0.697  0.806

The crystal system is monoclinic. The value obtained for the formation energy is 0.114 eV/atom.